The following is a DFT calculation (PBEsol) of a geometry-optimized ScCo structure.

## Properties
Density = 5.4 g/cm3
Magnetic moment = 0.0 μB/f.u.
E_form = 0.19 eV/atom

```
2
Lattice="0.0000 2.5202 2.5202 2.5202 0.0000 2.5202 2.5202 2.5202 0.0000" Properties=species:S:1:pos:R:3 pbc="T T T"
Sc 0.0000 0.0000 0.0000
Co 2.5202 2.5202 2.5202
```

=====

The following is a DFT calculation (PBEsol) of a geometry-optimized YCrAg structure.

## Properties
Density = 6.1 g/cm3
Magnetic moment = 3.8 μB/f.u.
E_form = 0.62 eV/atom

```
3
Lattice="0.0000 3.2284 3.2284 3.2284 0.0000 3.2284 3.2284 3.2284 0.0000" Properties=species:S:1:pos:R:3 pbc="T T T"
Y 0.0000 0.0000 0.0000
Cr 1.6142 1.6142 1.6142
Ag 3.2284 3.2284 3.2284
```

=====

The following is a DFT calculation (PBEsol) of a geometry-optimized FeTcBr2 structure.

## Properties
Density = 8.1 g/cm3
Offset from the most stable computed form = 348 meV/atom
E_form (uncorrected) = 0.686 eV/atom
Magnetic moment = 1.6 μB/f.u.

```
4
Lattice="1.5528 0.8965 7.6929 -1.5528 0.8965 7.6929 0.0000 -1.7930 7.6929" Properties=species:S:1:pos:R:3 pbc="T T T"
Fe 0.0000 0.0000 0.0000
Tc 0.0000 0.0000 11.5394
Br 0.0000 0.0000 5.8383
Br 0.0000 0.0000 17.2405
```

=====

The following is a DFT calculation (PBEsol) of a geometry-optimized HPdW2 structure.

## Properties
Density = 14.8 g/cm3
Electronic total energy = -8.2636 eV per atom
Magnetic moment = 0.0 μB/f.u.

```
4
Lattice="0.0000 2.9840 2.9840 2.9840 0.0000 2.9840 2.9840 2.9840 0.0000" Properties=species:S:1:pos:R:3 pbc="T T T"
H 0.0000 0.0000 0.0000
Pd 2.9840 2.9840 2.9840
W 1.4920 1.4920 1.4920
W 4.4761 4.4761 4.4761
```

=====

Q: Which formula does entry 4 have?
A: HPdW2